Entry 1:
First-principles (PBE-GGA) data for a relaxed structure of Cs2KGa2Sb2, as listed in the Alexandria database.

Computed properties:
Its space-group type is C2/m, No. 12. Its mass density is 3.62 Mg/m³. The value obtained for the total magnetization is 0.000 μB/atom. For the total energy, the calculation gives -19.58 eV per cell. The energy relative to the elements, uncorrected is -0.3545 eV/atom.

Structure (POSCAR):
```
Cs2KGa2Sb2
1.0
4.4476 0.0000 0.0000
-2.2238 6.6563 -3.2396
0.0000 -7.9015 14.4944
Cs K Ga Sb
2 1 2 2
direct
0.9993 0.9986 0.3126
0.0007 0.0014 0.6874
0.0000 0.0000 0.0000
0.6428 0.2857 0.6126
0.3572 0.7143 0.3874
0.6824 0.3647 0.2752
0.3176 0.6353 0.7248
```

=====

Entry 2:
First-principles (PBE-GGA) data for a relaxed structure of Ac3Pm7Nd2, as listed in the Alexandria database.

Computed properties:
For the energy of formation from the pure elements, the calculation gives 0.22 eV/atom. Its space-group type is P2/m, No. 10. Its mass density is 7.06 Mg/m³. The value obtained for the total magnetization is 0.000 μB/atom. For the total energy, the calculation gives -52.47 eV per cell.

Structure (POSCAR):
```
Ac3Pm7Nd2
1.0
3.7814 0.0000 -0.4948
0.0000 5.8934 0.0000
0.8123 0.0000 20.8390
Ac Pm Nd
3 7 2
direct
0.5000 0.5000 0.0000
0.8223 0.0000 0.6415
0.1777 0.0000 0.3585
0.2824 0.5000 0.5653
0.7176 0.5000 0.4347
0.4135 0.0000 0.8273
0.0000 0.0000 0.0000
0.5865 0.0000 0.1727
0.0696 0.5000 0.1412
0.9304 0.5000 0.8588
0.3630 0.5000 0.7201
0.6370 0.5000 0.2799
```

=====

Entry 3:
First-principles (PBE-GGA) data for a relaxed structure of HoErSb2, as listed in the Alexandria database.

Computed properties:
Its space-group type is R3m, No. 160. Its mass density is 7.99 Mg/m³. The value obtained for the energy above the most stable polymorph in this dataset is 110 meV/atom. The value obtained for the total magnetization is 0.000 μB/atom. For the total energy, the calculation gives -21.36 eV per cell. The energy relative to the elements, uncorrected is -0.9939 eV/atom.

Structure (POSCAR):
```
HoErSb2
1.0
4.3287 0.0000 0.0000
2.1643 3.7487 0.0000
2.1643 1.2496 7.3742
Ho Er Sb
1 1 2
direct
0.4982 0.4982 0.5054
0.6687 0.6687 0.9939
0.0814 0.0814 0.7557
0.2517 0.2517 0.2450
```

=====

Entry 4:
First-principles (PBE-GGA) data for a relaxed structure of La2Nd8Sc, as listed in the Alexandria database.

Computed properties:
For the energy of formation from the pure elements, the calculation gives 0.38 eV/atom. Its space-group type is C2/m, No. 12. Its mass density is 5.98 Mg/m³. The value obtained for the energy above the most stable polymorph in this dataset is 265 meV/atom. The value obtained for the total magnetization is 0.000 μB/atom. For the total energy, the calculation gives -50.19 eV per cell.

Structure (POSCAR):
```
La2Nd8Sc
1.0
5.9777 0.2371 0.2028
1.1321 8.3132 -0.4814
1.1321 0.8132 8.2873
La Nd Sc
2 8 1
direct
0.5024 0.1405 0.1405
0.4976 0.8595 0.8595
0.8010 0.1387 0.6479
0.1990 0.3521 0.8613
0.8967 0.2721 0.2721
0.1033 0.7279 0.7279
0.8010 0.6479 0.1387
0.1990 0.8613 0.3521
0.2883 0.4203 0.4203
0.7117 0.5797 0.5797
0.0000 0.0000 0.0000
```

=====

Entry 5:
First-principles (PBE-GGA) data for a relaxed structure of LaYBeN2, as listed in the Alexandria database.

Computed properties:
Its space-group type is P2/c, No. 13. Its mass density is 4.95 Mg/m³. The value obtained for the total magnetization is 0.000 μB/atom. For the total energy, the calculation gives -72.40 eV per cell. The energy relative to the elements, uncorrected is -0.8859 eV/atom.

Structure (POSCAR):
```
LaYBeN2
1.0
5.0068 0.0000 0.0000
0.0000 5.3409 0.6602
0.0000 -0.8131 6.5499
La Y Be N
2 2 2 4
direct
0.0018 0.5000 0.7500
0.9982 0.5000 0.2500
0.4995 0.0000 0.2500
0.5005 0.0000 0.7500
0.0000 0.0000 0.0000
0.0000 0.0000 0.5000
0.7720 0.7990 0.9998
0.7720 0.2010 0.5002
0.2280 0.7990 0.4998
0.2280 0.2010 0.0002
```

=====

Entry 6:
First-principles (PBE-GGA) data for a relaxed structure of SnRhO2, as listed in the Alexandria database.

Computed properties:
Its space-group type is R-3m, No. 166. Its mass density is 7.20 Mg/m³. The value obtained for the total magnetization is 0.074 μB/atom. For the total energy, the calculation gives -23.76 eV per cell. The energy relative to the elements, uncorrected is -0.6217 eV/atom.

Structure (POSCAR):
```
SnRhO2
1.0
1.8803 0.0000 6.3675
-0.9402 1.6284 6.3675
-0.9402 -1.6284 6.3675
Rh Sn O
1 1 2
direct
0.0000 0.0000 0.0000
0.5000 0.5000 0.5000
0.8908 0.8908 0.8908
0.1092 0.1092 0.1092
```

=====

What did the second record say?
First-principles (PBE-GGA) data for a relaxed structure of Ac3Pm7Nd2, as listed in the Alexandria database.

Computed properties:
For the energy of formation from the pure elements, the calculation gives 0.22 eV/atom. Its space-group type is P2/m, No. 10. Its mass density is 7.06 Mg/m³. The value obtained for the total magnetization is 0.000 μB/atom. For the total energy, the calculation gives -52.47 eV per cell.

Structure (POSCAR):
```
Ac3Pm7Nd2
1.0
3.7814 0.0000 -0.4948
0.0000 5.8934 0.0000
0.8123 0.0000 20.8390
Ac Pm Nd
3 7 2
direct
0.5000 0.5000 0.0000
0.8223 0.0000 0.6415
0.1777 0.0000 0.3585
0.2824 0.5000 0.5653
0.7176 0.5000 0.4347
0.4135 0.0000 0.8273
0.0000 0.0000 0.0000
0.5865 0.0000 0.1727
0.0696 0.5000 0.1412
0.9304 0.5000 0.8588
0.3630 0.5000 0.7201
0.6370 0.5000 0.2799
```

=====

What did the fifth record say?
First-principles (PBE-GGA) data for a relaxed structure of LaYBeN2, as listed in the Alexandria database.

Computed properties:
Its space-group type is P2/c, No. 13. Its mass density is 4.95 Mg/m³. The value obtained for the total magnetization is 0.000 μB/atom. For the total energy, the calculation gives -72.40 eV per cell. The energy relative to the elements, uncorrected is -0.8859 eV/atom.

Structure (POSCAR):
```
LaYBeN2
1.0
5.0068 0.0000 0.0000
0.0000 5.3409 0.6602
0.0000 -0.8131 6.5499
La Y Be N
2 2 2 4
direct
0.0018 0.5000 0.7500
0.9982 0.5000 0.2500
0.4995 0.0000 0.2500
0.5005 0.0000 0.7500
0.0000 0.0000 0.0000
0.0000 0.0000 0.5000
0.7720 0.7990 0.9998
0.7720 0.2010 0.5002
0.2280 0.7990 0.4998
0.2280 0.2010 0.0002
```

=====

> What is the total magnetization in the fourth record?

0.000 μB/atom